# 1
This record from Alexandria via LeMat-Bulk describes a relaxed structure of La2PuU2Ru5. The functional is PBE-GGA. Values from VASP.

Structure (Quantum ESPRESSO input):
```
&SYSTEM
  ibrav = 0, nat = 20, ntyp = 4
/
ATOMIC_SPECIES
Ru 101.07 Ru.upf
U 238.03 U.upf
Pu 244.00 Pu.upf
La 138.91 La.upf
CELL_PARAMETERS angstrom
3.538 0.000 0.000
0.000 10.883 0.000
0.000 0.000 10.883
ATOMIC_POSITIONS crystal
Ru 0.500 0.049 0.789
Ru 0.500 0.289 0.549
Ru 0.500 0.451 0.289
Ru 0.500 0.000 0.500
Ru 0.500 0.500 0.000
Ru 0.500 0.549 0.711
Ru 0.500 0.789 0.951
Ru 0.500 0.951 0.211
Ru 0.500 0.711 0.451
Ru 0.500 0.211 0.049
U 0.000 0.862 0.362
U 0.000 0.638 0.862
U 0.000 0.362 0.138
U 0.000 0.138 0.638
Pu 0.000 0.000 0.000
Pu 0.000 0.500 0.500
La 0.000 0.824 0.676
La 0.000 0.676 0.176
La 0.000 0.324 0.824
La 0.000 0.176 0.324
```

Summary:
Symmetry   No. 127
Energy of formation from the pure elements   -0.154 eV per atom

***

# 2
This record from Alexandria via LeMat-Bulk describes a relaxed structure of LaPu2S4. The functional is PBE-GGA. Values from VASP.

Structure (Quantum ESPRESSO input):
```
&SYSTEM
  ibrav = 0, nat = 14, ntyp = 3
/
ATOMIC_SPECIES
Pu 244.00 Pu.upf
S 32.06 S.upf
La 138.91 La.upf
CELL_PARAMETERS angstrom
-3.028 -1.466 2.123
5.195 -4.435 0.621
4.301 6.528 10.643
ATOMIC_POSITIONS crystal
Pu 0.132 0.264 0.435
Pu 0.868 0.736 0.935
Pu 0.868 0.736 0.565
Pu 0.132 0.264 0.065
S 0.229 0.459 0.878
S 0.500 0.000 0.500
S 0.771 0.541 0.378
S 0.500 0.000 0.000
S 0.039 0.077 0.250
S 0.771 0.541 0.122
S 0.229 0.459 0.622
S 0.961 0.923 0.750
La 0.617 0.235 0.750
La 0.383 0.765 0.250
```

Summary:
Raw formation energy   -1.88 eV/atom
Symmetry   No. 63

***

# 3
This record from Alexandria via LeMat-Bulk describes a relaxed structure of La2Pu3S8. The functional is PBE-GGA. Values from VASP.

Structure (Quantum ESPRESSO input):
```
&SYSTEM
  ibrav = 0, nat = 13, ntyp = 3
/
ATOMIC_SPECIES
Pu 244.00 Pu.upf
S 32.06 S.upf
La 138.91 La.upf
CELL_PARAMETERS angstrom
4.753 0.000 0.000
0.000 8.332 -4.788
0.000 -0.736 8.363
ATOMIC_POSITIONS crystal
Pu 0.000 0.273 0.000
Pu 0.000 0.727 0.000
Pu 0.500 0.000 0.000
S 0.500 0.119 0.765
S 0.000 0.887 0.775
S 0.500 0.881 0.235
S 0.000 0.620 0.241
S 0.000 0.113 0.225
S 0.500 0.354 0.235
S 0.000 0.380 0.759
S 0.500 0.646 0.765
La 0.500 0.269 0.538
La 0.500 0.731 0.462
```

Summary:
Raw formation energy   -1.74 eV/atom
Symmetry   No. 65

***

# 4
This record from Alexandria via LeMat-Bulk describes a relaxed structure of LaPuS3. The functional is PBE-GGA. Values from VASP.

Structure (Quantum ESPRESSO input):
```
&SYSTEM
  ibrav = 0, nat = 20, ntyp = 3
/
ATOMIC_SPECIES
La 138.91 La.upf
Pu 244.00 Pu.upf
S 32.06 S.upf
CELL_PARAMETERS angstrom
4.074 0.000 0.000
0.000 7.466 0.000
0.000 0.000 15.487
ATOMIC_POSITIONS crystal
La 0.750 0.363 0.703
La 0.250 0.637 0.297
La 0.250 0.137 0.203
La 0.750 0.863 0.797
Pu 0.750 0.230 0.460
Pu 0.750 0.730 0.040
Pu 0.250 0.770 0.540
Pu 0.250 0.270 0.960
S 0.750 0.129 0.062
S 0.250 0.153 0.784
S 0.750 0.487 0.896
S 0.250 0.653 0.716
S 0.750 0.987 0.604
S 0.250 0.371 0.562
S 0.250 0.871 0.938
S 0.750 0.629 0.438
S 0.250 0.013 0.396
S 0.750 0.347 0.284
S 0.250 0.513 0.104
S 0.750 0.847 0.216
```

Summary:
Raw formation energy   -1.94 eV/atom
Symmetry   No. 62
Relative energy among the computed polymorphs   0 meV/atom

***

# 5
This record from Alexandria via LeMat-Bulk describes a relaxed structure of LaPuS3. The functional is PBE-GGA. Values from VASP.

Structure (Quantum ESPRESSO input):
```
&SYSTEM
  ibrav = 0, nat = 10, ntyp = 3
/
ATOMIC_SPECIES
S 32.06 S.upf
La 138.91 La.upf
Pu 244.00 Pu.upf
CELL_PARAMETERS angstrom
4.745 0.000 0.000
0.000 8.232 0.121
-2.373 -1.004 7.403
ATOMIC_POSITIONS crystal
S 0.048 0.211 0.097
S 0.321 0.963 0.641
S 0.170 0.590 0.339
S 0.952 0.789 0.903
S 0.830 0.410 0.661
S 0.679 0.037 0.359
La 0.642 0.363 0.284
La 0.358 0.637 0.716
Pu 0.130 0.917 0.260
Pu 0.870 0.083 0.740
```

Summary:
Raw formation energy   -1.80 eV/atom
Symmetry   No. 12
Relative energy among the computed polymorphs   136 meV/atom

***

# 6
This record from Alexandria via LeMat-Bulk describes a relaxed structure of LaPu3S4. The functional is PBE-GGA. Values from VASP.

Structure (Quantum ESPRESSO input):
```
&SYSTEM
  ibrav = 0, nat = 8, ntyp = 3
/
ATOMIC_SPECIES
Pu 244.00 Pu.upf
La 138.91 La.upf
S 32.06 S.upf
CELL_PARAMETERS angstrom
-2.081 -1.638 3.017
5.374 -4.179 1.439
0.621 5.902 3.633
ATOMIC_POSITIONS crystal
Pu 0.000 0.500 0.000
Pu 0.500 0.500 0.500
Pu 0.000 0.000 0.500
La 0.500 0.000 0.000
S 0.000 0.739 0.739
S 0.500 0.256 0.744
S 0.500 0.744 0.256
S 0.000 0.261 0.261
```

Summary:
Raw formation energy   -1.86 eV/atom
Symmetry   No. 65
Relative energy among the computed polymorphs   0 meV/atom

***

# 7
This record from Alexandria via LeMat-Bulk describes a relaxed structure of La2PuS4. The functional is PBE-GGA. Values from VASP.

Structure (Quantum ESPRESSO input):
```
&SYSTEM
  ibrav = 0, nat = 14, ntyp = 3
/
ATOMIC_SPECIES
La 138.91 La.upf
S 32.06 S.upf
Pu 244.00 Pu.upf
CELL_PARAMETERS angstrom
4.015 0.000 0.000
-2.008 6.860 0.000
0.000 0.000 13.444
ATOMIC_POSITIONS crystal
La 0.132 0.264 0.427
La 0.868 0.736 0.573
La 0.868 0.736 0.927
La 0.132 0.264 0.073
S 0.980 0.960 0.750
S 0.020 0.040 0.250
S 0.776 0.552 0.125
S 0.224 0.448 0.625
S 0.224 0.448 0.875
S 0.500 0.000 0.500
S 0.776 0.552 0.375
S 0.500 0.000 0.000
Pu 0.378 0.755 0.250
Pu 0.622 0.245 0.750
```

Summary:
Raw formation energy   -1.96 eV/atom
Symmetry   No. 63

***

# 8
This record from Alexandria via LeMat-Bulk describes a relaxed structure of LaPu3S4. The functional is PBE-GGA. Values from VASP.

Structure (Quantum ESPRESSO input):
```
&SYSTEM
  ibrav = 0, nat = 8, ntyp = 3
/
ATOMIC_SPECIES
S 32.06 S.upf
Pu 244.00 Pu.upf
La 138.91 La.upf
CELL_PARAMETERS angstrom
-3.464 -4.280 -1.439
1.028 -2.514 5.002
-4.397 2.784 2.303
ATOMIC_POSITIONS crystal
S 0.500 0.500 0.500
S 0.500 0.000 0.000
S 0.000 0.500 0.000
S 0.000 0.000 0.500
Pu 0.500 0.000 0.500
Pu 0.500 0.500 0.000
Pu 0.000 0.500 0.500
La 0.000 0.000 0.000
```

Summary:
Raw formation energy   -1.84 eV/atom
Symmetry   No. 221
Relative energy among the computed polymorphs   16 meV/atom

***

no.,volume (Å³ per atom)
1,20.95
2,24.63
3,24.19
4,23.55
5,28.98
6,22.91
7,26.45
8,23.04